[1]
! Tl9Cd2Bi | Alexandria via LeMat-Bulk | GGA-PBE | relaxed; values from VASP
! N(E_F) = 4.72 states/eV/f.u.
! formation energy = 1.9 kJ per mole of atoms
&SYSTEM
  ibrav = 0, nat = 12, ntyp = 3
/
ATOMIC_SPECIES
Tl 204.38 Tl.upf
Cd 112.41 Cd.upf
Bi 208.98 Bi.upf
ATOMIC_POSITIONS crystal
Tl 0.000 0.000 0.000
Tl 0.000 0.000 0.338
Tl 0.000 0.000 0.662
Tl 0.000 0.500 0.171
Tl 0.000 0.500 0.500
Tl 0.000 0.500 0.829
Tl 0.500 0.000 0.171
Tl 0.500 0.000 0.500
Tl 0.500 0.000 0.829
Cd 0.500 0.500 0.340
Cd 0.500 0.500 0.660
Bi 0.500 0.500 0.000
CELL_PARAMETERS angstrom
5.157 0.000 0.000
0.000 5.157 0.000
0.000 0.000 13.566

[2]
! Ba6InRh | Alexandria via LeMat-Bulk | GGA-PBE | relaxed; values from VASP
! N(E_F) = 8.26 states/eV/f.u.
! formation energy = -12.9 kJ per mole of atoms
! energy above the lowest structure with this stoichiometry = 18 meV per atom
&SYSTEM
  ibrav = 0, nat = 8, ntyp = 3
/
ATOMIC_SPECIES
Ba 137.33 Ba.upf
In 114.82 In.upf
Rh 102.91 Rh.upf
ATOMIC_POSITIONS crystal
Ba 0.000 0.000 0.000
Ba 0.000 0.557 0.868
Ba 0.000 0.868 0.557
Ba 0.500 0.261 0.694
Ba 0.500 0.265 0.265
Ba 0.500 0.694 0.261
In 0.000 0.477 0.477
Rh 0.500 0.586 0.586
CELL_PARAMETERS angstrom
4.515 0.000 0.000
0.000 6.267 7.109
0.000 -6.267 7.109

[3]
! Li2GaCoN | Alexandria via LeMat-Bulk | GGA-PBE | relaxed; values from VASP
! E_form (uncorrected) = -0.282 eV/atom
! N(E_F) = 2.08 states/eV/f.u.
&SYSTEM
  ibrav = 0, nat = 5, ntyp = 4
/
ATOMIC_SPECIES
Li 6.94 Li.upf
Ga 69.72 Ga.upf
Co 58.93 Co.upf
N 14.01 N.upf
ATOMIC_POSITIONS crystal
Li 0.000 0.500 0.000
Li 0.500 0.000 0.000
Ga 0.000 0.000 0.500
Co 0.500 0.500 0.500
N 0.500 0.500 0.000
CELL_PARAMETERS angstrom
4.080 0.000 0.000
0.000 4.080 0.000
0.000 0.000 3.486